Below is a geometry-optimized BePtAu structure, with properties calculated at the PBE-GGA level.

Structure (CIF):
```
data_BePtAu
_chemical_formula_sum 'Be1 Pt1 Au1'
_cell_length_a 5.466
_cell_length_b 5.466
_cell_length_c 5.466
_cell_angle_alpha 149.74
_cell_angle_beta 149.74
_cell_angle_gamma 43.32
_space_group_name_H-M_alt 'P 1'
_space_group_IT_number 1
loop_
_space_group_symop_operation_xyz
'x,y,z'
loop_
_atom_site_label
_atom_site_type_symbol
_atom_site_fract_x
_atom_site_fract_y
_atom_site_fract_z
Au1 Au 0.352 0.352 0.000
Be1 Be 0.013 0.013 0.000
Pt1 Pt 0.635 0.635 0.000
```

Summary:
Distance to the lowest polymorph of the same formula   0 meV/atom

---

Below is a geometry-optimized Be2PtAu2 structure, with properties calculated at the PBE-GGA level.

Structure (CIF):
```
data_Be2PtAu2
_chemical_formula_sum 'Be4 Pt2 Au4'
_cell_length_a 6.731
_cell_length_b 6.731
_cell_length_c 2.964
_cell_angle_alpha 90.00
_cell_angle_beta 90.00
_cell_angle_gamma 90.00
_space_group_name_H-M_alt 'P 1'
_space_group_IT_number 1
loop_
_space_group_symop_operation_xyz
'x,y,z'
loop_
_atom_site_label
_atom_site_type_symbol
_atom_site_fract_x
_atom_site_fract_y
_atom_site_fract_z
Au1 Au 0.347 0.153 0.500
Au2 Au 0.847 0.347 0.500
Au3 Au 0.153 0.653 0.500
Au4 Au 0.653 0.847 0.500
Be1 Be 0.640 0.140 0.000
Be2 Be 0.140 0.360 0.000
Be3 Be 0.860 0.640 0.000
Be4 Be 0.360 0.860 0.000
Pt1 Pt 0.000 0.000 0.000
Pt2 Pt 0.500 0.500 0.000
```

---

Below is a geometry-optimized Be2Pt2Au structure, with properties calculated at the PBE-GGA level.

Structure (CIF):
```
data_Be2Pt2Au
_chemical_formula_sum 'Be2 Pt2 Au1'
_cell_length_a 5.448
_cell_length_b 5.448
_cell_length_c 5.448
_cell_angle_alpha 138.28
_cell_angle_beta 138.28
_cell_angle_gamma 60.48
_space_group_name_H-M_alt 'P 1'
_space_group_IT_number 1
loop_
_space_group_symop_operation_xyz
'x,y,z'
loop_
_atom_site_label
_atom_site_type_symbol
_atom_site_fract_x
_atom_site_fract_y
_atom_site_fract_z
Au1 Au 0.000 0.000 0.000
Be1 Be 0.376 0.376 0.000
Be2 Be 0.624 0.624 0.000
Pt1 Pt 0.750 0.250 0.500
Pt2 Pt 0.250 0.750 0.500
```

Summary:
Distance to the lowest polymorph of the same formula   209 meV/atom

---

Calculated E, -4.75, -4.21, -4.85 eV per atom (same order as the records).